The following is a DFT calculation (GGA-PBE) of a relaxed structure of HoSc3Ru.

Energy above the lowest structure with this stoichiometry   0.000 eV/f.u.

CIF file:
```
data_HoSc3Ru
_chemical_formula_sum 'Ho4 Sc12 Ru4'
_cell_length_a 11.1495
_cell_length_b 7.9844
_cell_length_c 7.4657
_cell_angle_alpha 90.00
_cell_angle_beta 131.94
_cell_angle_gamma 90.00
_symmetry_space_group_name_H-M 'C 1 2/m 1'
_symmetry_Int_Tables_number 12
_symmetry_space_group_name_Hall '-C 2y'
loop_
_atom_site_label
_atom_site_type_symbol
_atom_site_fract_x
_atom_site_fract_y
_atom_site_fract_z
Ho1 Ho 0.0531 0.0000 0.2783
Sc1 Sc 0.0582 0.5000 0.3588
Sc2 Sc 0.2292 0.3051 0.1827
Ru1 Ru 0.2435 0.5000 0.8730
```


The following is a DFT calculation (GGA-PBE) of a relaxed structure of CaYScMo2.

Raw total energy   -6.074 eV per atom

CIF file:
```
data_CaYScMo2
_chemical_formula_sum 'Ca1 Y1 Sc1 Mo2'
_cell_length_a 4.8000
_cell_length_b 4.8000
_cell_length_c 5.3581
_cell_angle_alpha 90.00
_cell_angle_beta 90.00
_cell_angle_gamma 90.00
_symmetry_space_group_name_H-M 'P 4/m m m'
_symmetry_Int_Tables_number 123
_symmetry_space_group_name_Hall '-P 4 2'
loop_
_atom_site_label
_atom_site_type_symbol
_atom_site_fract_x
_atom_site_fract_y
_atom_site_fract_z
Ca1 Ca 0.0000 0.0000 0.0000
Y1 Y 0.5000 0.5000 0.0000
Sc1 Sc 0.0000 0.0000 0.5000
Mo1 Mo 0.0000 0.5000 0.5000
```


The following is a DFT calculation (GGA-PBE) of a relaxed structure of BeCoC3.

Energy above the lowest structure with this stoichiometry   0.000 eV/f.u.

CIF file:
```
data_BeCoC3
_chemical_formula_sum 'Be1 Co1 C3'
_cell_length_a 3.6883
_cell_length_b 3.6883
_cell_length_c 3.6883
_cell_angle_alpha 90.00
_cell_angle_beta 90.00
_cell_angle_gamma 90.00
_symmetry_space_group_name_H-M 'P m -3 m'
_symmetry_Int_Tables_number 221
_symmetry_space_group_name_Hall '-P 4 2 3'
loop_
_atom_site_label
_atom_site_type_symbol
_atom_site_fract_x
_atom_site_fract_y
_atom_site_fract_z
Be1 Be 0.0000 0.0000 0.0000
Co1 Co 0.5000 0.5000 0.5000
C1 C 0.0000 0.5000 0.5000
```


The following is a DFT calculation (GGA-PBE) of a relaxed structure of BaSr7Mg4.

Raw total energy   -1.569 eV per atom

CIF file:
```
data_BaSr7Mg4
_chemical_formula_sum 'Ba2 Sr14 Mg8'
_cell_length_a 16.2990
_cell_length_b 6.5958
_cell_length_c 12.0020
_cell_angle_alpha 90.00
_cell_angle_beta 124.45
_cell_angle_gamma 90.00
_symmetry_space_group_name_H-M 'C 1 2/m 1'
_symmetry_Int_Tables_number 12
_symmetry_space_group_name_Hall '-C 2y'
loop_
_atom_site_label
_atom_site_type_symbol
_atom_site_fract_x
_atom_site_fract_y
_atom_site_fract_z
Ba1 Ba 0.0000 0.0000 0.0000
Sr1 Sr 0.0000 0.5000 0.0000
Sr2 Sr 0.0694 0.0000 0.3929
Sr3 Sr 0.1941 0.5000 0.6428
Sr4 Sr 0.2206 0.0000 0.8854
Mg1 Mg 0.0438 0.5000 0.7603
Mg2 Mg 0.1802 0.5000 0.3326
```


Number 1: M_tot 1.8 Bohr magnetons per cell. Number 2: M_tot 0.0 Bohr magnetons per cell. Number 3: M_tot 0.0 Bohr magnetons per cell. Number 4: M_tot 0.0 Bohr magnetons per cell.